Entry from the Alexandria database: crystalline Pr3HoTl2 at its relaxed geometry (GGA-PBE).

Summary:
Magnetization = 0.0 μB per cell
Raw total energy = -4.12 eV per atom
Calculated density = 8599 kg/m³
Crystal system = monoclinic
Calculated formation energy = -103 kJ/mol of formula units
Offset from the most stable computed form = 90 meV/atom

```
data_Pr3HoTl2
_chemical_formula_sum 'Pr12 Ho4 Tl8'
_cell_length_a 16.538
_cell_length_b 5.084
_cell_length_c 10.435
_cell_angle_alpha 90.00
_cell_angle_beta 118.69
_cell_angle_gamma 90.00
_space_group_name_H-M_alt 'C 1 2/m 1'
_space_group_IT_number 12
loop_
_space_group_symop_operation_xyz
'x,y,z'
'-x,-y,-z'
'-x,y,-z'
'x,-y,z'
'x+1/2,y+1/2,z'
'-x+1/2,-y+1/2,-z'
'-x+1/2,y+1/2,-z'
'x+1/2,-y+1/2,z'
loop_
_atom_site_label
_atom_site_type_symbol
_atom_site_fract_x
_atom_site_fract_y
_atom_site_fract_z
Pr1 Pr 0.041 0.000 0.359
Pr2 Pr 0.134 0.500 0.675
Pr3 Pr 0.211 0.500 0.378
Ho1 Ho 0.118 0.000 0.065
Tl1 Tl 0.012 0.500 0.864
Tl2 Tl 0.243 0.000 0.900
```


Entry from the Alexandria database: crystalline Pr2Ho3Tl4 at its relaxed geometry (GGA-PBE).

Summary:
Magnetization = 0.0 μB per cell
Raw total energy = -3.89 eV per atom
Calculated density = 9666 kg/m³
Crystal system = orthorhombic
Calculated formation energy = -220 kJ/mol of formula units

```
data_Pr2Ho3Tl4
_chemical_formula_sum 'Pr8 Ho12 Tl16'
_cell_length_a 7.168
_cell_length_b 16.848
_cell_length_c 9.070
_cell_angle_alpha 90.00
_cell_angle_beta 90.00
_cell_angle_gamma 90.00
_space_group_name_H-M_alt 'C m c e'
_space_group_IT_number 64
_space_group_name_Hall '-C 2ac 2'
loop_
_atom_site_label
_atom_site_type_symbol
_atom_site_fract_x
_atom_site_fract_y
_atom_site_fract_z
Pr1 Pr 0.000 0.109 0.078
Ho1 Ho 0.000 0.000 0.500
Ho2 Ho 0.250 0.217 0.750
Tl1 Tl 0.000 0.183 0.458
Tl2 Tl 0.250 0.036 0.750
```